Material: MnCuHRu2
Method: DFT, PBE
State: relaxed

Summary:
- Space group: P4/mmm (123)
- Magnetization: 2.812 μB/cell
- Calculated total energy: -6.876 eV per atom
- Volume: 55.70 Å³/cell

a = 3.8403 Å, b = 3.8403 Å, c = 3.7772 Å
α = 90.00°, β = 90.00°, γ = 90.00°
With the nearest neighbours (Å) after each atom.
Sites, in units of the cell vectors:
Mn 0.0000 0.0000 0.0000  2 H 1.89
Cu 0.5000 0.5000 0.0000  8 Ru 2.69, 4 Mn 2.72
H 0.0000 0.0000 0.5000  2 Mn 1.89, 4 Ru 1.92
Ru 0.0000 0.5000 0.5000  2 H 1.92
Ru 0.5000 0.0000 0.5000  2 H 1.92